ErNi7Ge2: optimized geometry, PBE.

Calculated total energy = -5.35 eV/atom
Calculated volume = 16.08 Å³ per atom
Calculated density = 7.47 g/cm3

abc: 6.5818 6.5818 4.2932
angles: 90.00 90.00 120.14
With the nearest neighbours (Å) after each atom.
Sites, in units of the cell vectors:
Er 0.0000 0.0000 0.0000  10 Ni 2.59-2.79
Ni 0.0684 0.2981 0.5000  2 Ge 2.30-2.42, 2 Ni 2.41-2.46
Ni 0.2275 0.7725 0.0000  2 Ge 2.30
Ni 0.2981 0.0684 0.5000  2 Ge 2.30-2.42, 2 Ni 2.41-2.46
Ni 0.5000 0.5000 0.5000  2 Ge 2.29, 4 Ni 2.46
Ni 0.7019 0.9316 0.5000  2 Ge 2.30-2.42, 2 Ni 2.41-2.46
Ni 0.7725 0.2275 0.0000  2 Ge 2.30
Ni 0.9316 0.7019 0.5000  2 Ge 2.30-2.42, 2 Ni 2.41-2.46
Ge 0.2990 0.7010 0.5000  7 Ni 2.29-2.42
Ge 0.7010 0.2990 0.5000  7 Ni 2.29-2.42